No. 1
Entry from Alexandria: an optimized crystal structure of KNi2PIr (GGA-PBE).

Cell and atoms, written as extended XYZ:
```
5
Lattice="-0.690 3.655 2.065 -2.917 -2.463 3.386 3.422 -0.723 2.423" Properties=species:S:1:pos:R:3 pbc="T T T"
K 0.000 0.000 0.000
Ir -1.459 -1.231 1.693
P -0.093 0.235 3.937
Ni 1.711 -0.361 1.211
Ni -0.345 1.828 1.032
```

Summary:
DFT total energy, eV per formula unit: -14.47
N(E_F), states/eV/f.u.: 6.727
Total magnetization, μB/cell: 0.00
Formation energy from the elements, eV per atom: 2.493

***

No. 2
Entry from Alexandria: an optimized crystal structure of KNiIrPb2 (GGA-PBE).

Cell and atoms, written as extended XYZ:
```
5
Lattice="5.221 0.000 0.000 0.000 5.988 0.000 0.000 0.000 5.221" Properties=species:S:1:pos:R:3 pbc="T T T"
K 0.000 2.994 0.000
Pb 2.610 0.000 0.000
Pb 0.000 0.000 2.610
Ni 2.610 2.994 2.610
Ir 0.000 0.000 0.000
```

Summary:
DFT total energy, eV per formula unit: -19.25
N(E_F), states/eV/f.u.: 11.001
Total magnetization, μB/cell: 0.49
Formation energy from the elements, eV per atom: 0.782

***

Which formula does entry 2 have? KNiIrPb2

***

What is the total magnetization in the second record? 0.49 μB/cell